Material: Li2SbOs2
Method: DFT, GGA-PBE
State: relaxed

Cell and atoms, written as POSCAR:
```
Li2SbOs2
1.0
-0.994 -2.997 -1.392
2.075 0.565 -2.699
6.771 -5.126 1.925
Os Li Sb
2 2 1
direct
0.750 0.250 0.500 Os
0.250 0.750 0.500 Os
0.614 0.614 0.773 Li
0.386 0.386 0.227 Li
0.000 0.000 0.000 Sb
```

- ΔE_f (raw): 2.39 eV/f.u.
- Polymorph energy (0 for the lowest one): 0.00 eV per formula unit
- Space-group type: No. 139
- V: 19.91 Å³/atom

Material: Mn2OsBr
Method: DFT, GGA-PBE
State: relaxed

Cell and atoms, written as POSCAR:
```
Mn2OsBr
1.0
-2.450 -0.821 -1.742
0.341 -2.105 -2.272
-2.415 -6.835 3.842
Mn Br Os
2 1 1
direct
0.005 0.005 0.987 Mn
0.495 0.495 0.513 Mn
0.250 0.250 0.250 Br
0.750 0.750 0.750 Os
```

- ΔE_f (raw): 1.79 eV/f.u.
- Polymorph energy (0 for the lowest one): 0.58 eV per formula unit
- Space-group type: No. 166
- V: 16.84 Å³/atom

Material: CaEu2Pb
Method: DFT, GGA-PBE
State: relaxed

Cell and atoms, written as POSCAR:
```
CaEu2Pb
1.0
5.807 0.000 0.000
2.904 5.029 0.000
2.904 1.676 4.742
Ca Pb Eu
1 1 2
direct
0.000 0.000 0.000 Ca
0.500 0.500 0.500 Pb
0.750 0.750 0.750 Eu
0.250 0.250 0.250 Eu
```

- Polymorph energy (0 for the lowest one): 0.32 eV per formula unit
- Space-group type: No. 225
- V: 34.62 Å³/atom